# Th4PdPb | Alexandria via LeMat-Bulk | PBE-GGA | relaxed
# ΔH_f (0 K) (meV per atom): -207
data_Th4PdPb
_symmetry_space_group_name_H-M 'I 4/m c m'
_symmetry_Int_Tables_number 140
_symmetry_space_group_name_Hall '-I 4 2c'
_cell_length_a 7.5085
_cell_length_b 7.5085
_cell_length_c 12.7018
_cell_angle_alpha 90.00
_cell_angle_beta 90.00
_cell_angle_gamma 90.00
loop_
_atom_site_label
_atom_site_fract_x
_atom_site_fract_y
_atom_site_fract_z
Th1 0.1544 0.3456 0.1390
Pd1 0.0000 0.0000 0.2500
Pb1 0.0000 0.0000 0.0000